[1]
CsHfSi3 | PBE | optimized geometry

The calculation puts the formation energy (no corrections) at 2361.8 meV/atom. Its total moment is 0.0 μB per formula unit. Its density of states at the Fermi level is 0.67 states/eV per atom. As for the offset from the most stable computed form: 1994 meV per atom. Its calculated density is 4.74 g/cm3. Its total energy is -15.27 eV/f.u.

The structure belongs to space group Pm-3m (No. 221); the cell edges are 5.1734, 5.1734 and 5.1734 Å and the angles 90.00°, 90.00° and 90.00°. The distinct sites, in fractional coordinates, are Cs at (0.0000, 0.0000, 0.0000), Hf at (0.5000, 0.5000, 0.5000) and Si at (0.0000, 0.0000, 0.5000).



[2]
CsHf2Si2 | PBE | optimized geometry

The calculation puts the formation energy (no corrections) at 84.9 meV/atom. Its total moment is 0.0 μB per formula unit. Its density of states at the Fermi level is 1.08 states/eV per atom. As for the offset from the most stable computed form: 0 meV per atom. Its calculated density is 8.22 g/cm3. Its total energy is -31.18 eV/f.u.

The structure belongs to space group P4/mbm (No. 127); the cell edges are 8.4989, 8.4989 and 3.0539 Å and the angles 90.00°, 90.00° and 90.00°. The distinct sites, in fractional coordinates, are Cs at (0.0000, 0.0000, 0.0000), Hf at (0.1295, 0.3705, 0.0000) and Si at (0.1542, 0.6542, 0.5000).



[3]
CsHf2ZnSi | PBE | optimized geometry

The calculation puts the formation energy (no corrections) at 2471.7 meV/atom. Its total moment is 0.0 μB per formula unit. Its density of states at the Fermi level is 1.17 states/eV per atom. Its calculated density is 6.57 g/cm3. Its total energy is -15.10 eV/f.u.

The structure belongs to space group P4/mmm (No. 123); the cell edges are 5.3325, 5.3325 and 5.1867 Å and the angles 90.00°, 90.00° and 90.00°. The distinct sites, in fractional coordinates, are Cs at (0.0000, 0.0000, 0.0000), Hf at (0.0000, 0.5000, 0.0000), Zn at (0.0000, 0.0000, 0.5000) and Si at (0.5000, 0.5000, 0.5000).



[4]
Cs3Sm2HfTe6 | PBE | optimized geometry

The calculation puts the formation energy (no corrections) at -1203.9 meV/atom. Its total moment is 0.0 μB per formula unit. Its density of states at the Fermi level is 0.40 states/eV per atom. Its calculated density is 5.84 g/cm3. Its total energy is -55.25 eV/f.u.

The structure belongs to space group C2/m (No. 12); the cell edges are 7.7654, 13.4499 and 9.3222 Å and the angles 90.00°, 106.16° and 90.00°. The distinct sites, in fractional coordinates, are Cs at (0.0000, 0.0000, 0.0000), Cs at (0.0000, 0.3267, 0.0000), Sm at (0.0000, 0.1659, 0.5000), Hf at (0.0000, 0.5000, 0.5000), Te at (0.2195, 0.3434, 0.6893) and Te at (0.2484, 0.5000, 0.3080).



[5]
Cs4Sm3HfTe8 | PBE | optimized geometry

The calculation puts the formation energy (no corrections) at -1250.9 meV/atom. Its total moment is 0.0 μB per formula unit. Its density of states at the Fermi level is 0.32 states/eV per atom. Its calculated density is 5.72 g/cm3. Its total energy is -72.67 eV/f.u.

The structure belongs to space group R-3m (No. 166, hexagonal axes); the cell edges are 9.0390, 9.0390 and 26.8691 Å and the angles 90.00°, 90.00° and 120.00°. The distinct sites, in fractional coordinates, are Cs at (0.0000, 0.0000, 0.0000), Cs at (0.0000, 0.5000, 0.0000), Sm at (0.0000, 0.5000, 0.5000), Hf at (0.0000, 0.0000, 0.5000), Te at (0.0000, 0.0000, 0.2324) and Te at (0.0197, 0.5098, 0.2295).



[6]
Cs2Sm2HfTe6 | PBE | optimized geometry

The calculation puts the formation energy (no corrections) at -1242.5 meV/atom. Its total moment is 0.0 μB per formula unit. Its calculated density is 5.40 g/cm3. Its total energy is -53.62 eV/f.u.

The structure belongs to space group C2/m (No. 12); the cell edges are 7.6787, 13.2173 and 9.5441 Å and the angles 90.00°, 106.49° and 90.00°. The distinct sites, in fractional coordinates, are Cs at (0.0000, 0.1727, 0.0000), Sm at (0.0000, 0.3322, 0.5000), Hf at (0.0000, 0.0000, 0.5000), Te at (0.2239, 0.1546, 0.6885) and Te at (0.2463, 0.0000, 0.3137).



[7]
CsHfSn3 | PBE | optimized geometry

Its total moment is 0.0 μB per formula unit. Its density of states at the Fermi level is 1.10 states/eV per atom. The formation energy is 915 kJ/mol of formula units. As for the offset from the most stable computed form: 1949 meV per atom. Its calculated density is 5.58 g/cm3. Its total energy is -13.33 eV/f.u.

The structure belongs to space group Pm-3m (No. 221); the cell edges are 5.8337, 5.8337 and 5.8337 Å and the angles 90.00°, 90.00° and 90.00°. The distinct sites, in fractional coordinates, are Cs at (0.0000, 0.0000, 0.0000), Hf at (0.5000, 0.5000, 0.5000) and Sn at (0.0000, 0.0000, 0.5000).



[8]
CsHfSn3 | PBE | optimized geometry

Its total moment is 0.0 μB per formula unit. Its density of states at the Fermi level is 0.53 states/eV per atom. The formation energy is -25 kJ/mol of formula units. As for the offset from the most stable computed form: 0 meV per atom. Its calculated density is 6.16 g/cm3. Its total energy is -23.08 eV/f.u.

The structure belongs to space group Pm-3m (No. 221); the cell edges are 5.6459, 5.6459 and 5.6459 Å and the angles 90.00°, 90.00° and 90.00°. The distinct sites, in fractional coordinates, are Cs at (0.0000, 0.0000, 0.0000), Hf at (0.5000, 0.5000, 0.5000) and Sn at (0.0000, 0.5000, 0.5000).